i | A geometry-optimized MnSn3Os structure, computed with GGA-PBE.

Results
Its space group is Pm-3m (221). For the spin magnetization, the calculation gives 0.60 μB per atom.

The structure in POSCAR format:
```
MnSn3Os
1.0
4.882 0.000 0.000
0.000 4.882 0.000
0.000 0.000 4.882
Mn Sn Os
1 3 1
Cartesian
0.000 0.000 0.000
0.000 0.000 2.441
0.000 2.441 0.000
2.441 0.000 0.000
2.441 2.441 2.441
```

=====

ii | A geometry-optimized MnSn3Os structure, computed with GGA-PBE.

Results
Its space group is Pm-3m (221). For the spin magnetization, the calculation gives 0.77 μB per atom.

The structure in POSCAR format:
```
MnSn3Os
1.0
5.213 0.000 0.000
0.000 5.213 0.000
0.000 0.000 5.213
Mn Sn Os
1 3 1
Cartesian
0.000 0.000 0.000
0.000 2.607 2.607
2.607 0.000 2.607
2.607 2.607 0.000
2.607 2.607 2.607
```

=====

Of them, ii has the highest stability.

=====

i | A geometry-optimized Mn2Sn2Os structure, computed with GGA-PBE.

Results
Its space group is I4/mmm (139). For the spin magnetization, the calculation gives 0.90 μB per atom.

The structure in POSCAR format:
```
Mn2Sn2Os
1.0
-1.941 1.941 5.877
1.941 -1.941 5.877
1.941 1.941 -5.877
Mn Sn Os
2 2 1
Cartesian
0.000 0.000 1.028
0.000 0.000 10.725
1.941 0.000 2.938
0.000 1.941 2.938
0.000 0.000 5.877
```

=====

ii | A geometry-optimized Mn2Sn2Os structure, computed with GGA-PBE.

Results
Its space group is P4/mbm (127). For the spin magnetization, the calculation gives 0.00 μB per atom.

The structure in POSCAR format:
```
Mn2Sn2Os
1.0
6.330 0.000 0.000
0.000 6.330 0.000
0.000 0.000 4.040
Mn Sn Os
4 4 2
Cartesian
0.753 2.412 0.000
2.412 5.577 0.000
3.918 0.753 0.000
5.577 3.918 0.000
1.152 4.317 2.020
2.013 1.152 2.020
4.317 5.178 2.020
5.178 2.013 2.020
0.000 0.000 0.000
3.165 3.165 0.000
```

=====

Of them, ii has the highest stability.

=====

i | A geometry-optimized SrMn2Os structure, computed with GGA-PBE.

Results
Its space group is F-43m (216). For the spin magnetization, the calculation gives 2.03 μB per atom.

The structure in POSCAR format:
```
SrMn2Os
1.0
0.000 3.356 3.356
3.356 0.000 3.356
3.356 3.356 0.000
Sr Mn Os
1 2 1
Cartesian
0.000 0.000 0.000
3.356 3.356 3.356
5.033 5.033 5.033
1.678 1.678 1.678
```

=====

ii | A geometry-optimized SrMn2Os structure, computed with GGA-PBE.

Results
Its space group is P4/mmm (123). For the spin magnetization, the calculation gives 1.69 μB per atom.

The structure in POSCAR format:
```
SrMn2Os
1.0
3.174 0.000 0.000
0.000 3.174 0.000
0.000 0.000 7.659
Sr Mn Os
1 2 1
Cartesian
0.000 0.000 0.000
1.587 1.587 2.495
1.587 1.587 5.165
0.000 0.000 3.830
```

=====

Of them, ii has the highest stability.